The following is a PBE calculation of an optimized crystal structure of TlGa2Hg, from Alexandria.

a = 4.537 Å, b = 4.568 Å, c = 4.568 Å
α = 90.00°, β = 90.00°, γ = 90.00°
Positions (direct):
Tl  0.500  0.000  0.000
Hg  0.500  0.500  0.500
Ga  0.000  0.000  0.500
Ga  0.000  0.500  0.000

Calculated values
**ρ**: 9.5 g cm⁻³
**Crystal system**: tetragonal
**Formation energy from the elements**: 0.106 eV/atom
**Total DFT energy (no corrections)**: -8.30 eV/cell
**Magnetic moment**: 0.00 μB per atom
**DOS at the Fermi energy**: 0.7 states/eV/f.u.

***

The following is a PBE calculation of an optimized crystal structure of Sr2Cd3In, from Alexandria.

a = 6.461 Å, b = 6.461 Å, c = 10.268 Å
α = 113.38°, β = 113.38°, γ = 74.85°
Positions (direct):
Sr  0.750  0.250  0.500
Sr  0.752  0.248  0.000
Sr  0.250  0.750  0.500
Sr  0.248  0.752  0.000
Cd  0.834  0.834  0.166
Cd  0.667  0.667  0.834
Cd  0.166  0.166  0.834
Cd  0.333  0.333  0.166
Cd  0.166  0.166  0.333
Cd  0.834  0.834  0.667
In  0.666  0.666  0.333
In  0.334  0.334  0.667

Calculated values
**ρ**: 5.8 g cm⁻³
**Crystal system**: orthorhombic
**Formation energy from the elements**: -0.366 eV/atom
**Total DFT energy (no corrections)**: -22.08 eV/cell
**Magnetic moment**: 0.00 μB per atom
**DOS at the Fermi energy**: 4.0 states/eV/f.u.

***

The following is a PBE calculation of an optimized crystal structure of EuSn2Hg, from Alexandria.

a = 5.393 Å, b = 5.393 Å, c = 5.411 Å
α = 60.11°, β = 60.11°, γ = 60.00°
Each line ends with the local moment (μB).
Positions (direct):
Eu  0.000  0.000  0.000  6.85
Hg  0.500  0.500  0.500  0.01
Sn  0.750  0.750  0.749  0.02
Sn  0.250  0.250  0.251  0.02

Calculated values
**ρ**: 8.8 g cm⁻³
**Crystal system**: trigonal
**Formation energy from the elements**: -0.234 eV/atom
**Total DFT energy (no corrections)**: -19.52 eV/cell
**Magnetic moment**: 1.79 μB per atom
**DOS at the Fermi energy**: 1.6 states/eV/f.u.

***

The following is a PBE calculation of an optimized crystal structure of TbTmTlOs, from Alexandria.

a = 5.043 Å, b = 5.043 Å, c = 5.043 Å
α = 60.00°, β = 60.00°, γ = 60.00°
Positions (direct):
Tb  0.750  0.750  0.750
Tl  0.000  0.000  0.000
Tm  0.250  0.250  0.250
Os  0.500  0.500  0.500

Calculated values
**ρ**: 13.2 g cm⁻³
**Crystal system**: cubic
**Formation energy from the elements**: -0.159 eV/atom
**Total DFT energy (no corrections)**: -23.33 eV/cell
**Magnetic moment**: 0.00 μB per atom
**DOS at the Fermi energy**: 2.9 states/eV/f.u.

***

The following is a PBE calculation of an optimized crystal structure of CaLa2Cu, from Alexandria.

a = 3.766 Å, b = 3.766 Å, c = 9.173 Å
α = 90.00°, β = 90.00°, γ = 90.00°
Positions (direct):
Ca  0.500  0.500  0.250
Cu  0.500  0.500  0.750
La  0.000  0.000  0.927
La  0.000  0.000  0.573

Calculated values
**ρ**: 4.9 g cm⁻³
**Crystal system**: tetragonal
**Formation energy from the elements**: -0.031 eV/atom
**Total DFT energy (no corrections)**: -16.08 eV/cell
**Magnetic moment**: 0.00 μB per atom
**DOS at the Fermi energy**: 4.9 states/eV/f.u.

***

The following is a PBE calculation of an optimized crystal structure of HfHRh3, from Alexandria.

a = 5.217 Å, b = 5.217 Å, c = 5.217 Å
α = 60.72°, β = 60.72°, γ = 60.72°
Each line ends with the local moment (μB).
Positions (direct):
Rh  0.823  0.329  0.823  0.35
Rh  0.329  0.823  0.823  0.24
Rh  0.823  0.823  0.329  0.32
Hf  0.827  0.827  0.827  -0.05
H  0.073  0.073  0.073  0.00

Calculated values
**ρ**: 7.9 g cm⁻³
**Crystal system**: trigonal
**Total DFT energy (no corrections)**: -32.65 eV/cell
**Magnetic moment**: 0.18 μB per atom
**DOS at the Fermi energy**: 5.1 states/eV/f.u.